Below is crystalline Rb2Pu3PdO12 at its relaxed geometry, with properties calculated at the PBE level.

D(E_F): 0.253 states/eV per atom
energy relative to the elements, uncorrected: -2.087 eV/atom
total magnetization: 6.020 μB per cell
calculated total energy: -147.19 eV/f.u.

Geometry as CIF:
```
data_Rb2Pu3PdO12
_cell_length_a 7.481
_cell_length_b 7.481
_cell_length_c 7.481
_cell_angle_alpha 63.24
_cell_angle_beta 63.24
_cell_angle_gamma 63.24
_space_group_name_H-M_alt 'P 1'
_space_group_IT_number 1
loop_
_space_group_symop_operation_xyz
'x,y,z'
loop_
_atom_site_label
_atom_site_type_symbol
_atom_site_fract_x
_atom_site_fract_y
_atom_site_fract_z
O1 O 0.933 0.933 0.318
O2 O 0.067 0.682 0.067
O3 O 0.067 0.067 0.682
O4 O 0.935 0.320 0.320
O5 O 0.933 0.318 0.933
O6 O 0.065 0.680 0.680
O7 O 0.682 0.067 0.067
O8 O 0.320 0.320 0.935
O9 O 0.318 0.933 0.933
O10 O 0.320 0.935 0.320
O11 O 0.680 0.065 0.680
O12 O 0.680 0.680 0.065
Pu1 Pu 0.000 0.000 0.500
Pu2 Pu 0.500 0.000 0.000
Pu3 Pu 0.000 0.500 0.000
Pd1 Pd 0.000 0.000 0.000
Rb1 Rb 0.372 0.372 0.372
Rb2 Rb 0.628 0.628 0.628
```

=====

Below is crystalline BaTa2Tl2S7 at its relaxed geometry, with properties calculated at the PBE level.

D(E_F): 0.000 states/eV per atom
energy relative to the elements, uncorrected: -0.957 eV/atom
total magnetization: 0.000 μB per cell
calculated total energy: -70.74 eV/f.u.

Geometry as CIF:
```
data_BaTa2Tl2S7
_cell_length_a 6.954
_cell_length_b 6.954
_cell_length_c 10.906
_cell_angle_alpha 71.41
_cell_angle_beta 71.41
_cell_angle_gamma 60.00
_space_group_name_H-M_alt 'P 1'
_space_group_IT_number 1
loop_
_space_group_symop_operation_xyz
'x,y,z'
loop_
_atom_site_label
_atom_site_type_symbol
_atom_site_fract_x
_atom_site_fract_y
_atom_site_fract_z
S1 S 0.804 0.418 0.696
S2 S 0.000 0.000 0.000
S3 S 0.919 0.582 0.304
S4 S 0.418 0.081 0.696
S5 S 0.081 0.804 0.696
S6 S 0.196 0.919 0.304
S7 S 0.582 0.196 0.304
Ta1 Ta 0.923 0.923 0.232
Ta2 Ta 0.077 0.077 0.768
Tl1 Tl 0.295 0.295 0.116
Tl2 Tl 0.705 0.705 0.884
Ba1 Ba 0.500 0.500 0.500
```

=====

Below is crystalline In6AgSn2 at its relaxed geometry, with properties calculated at the PBE level.

D(E_F): 0.434 states/eV per atom
formation energy from the elements: 56 meV per atom
total magnetization: 0.000 μB per cell
calculated total energy: -26.78 eV/f.u.

Geometry as CIF:
```
data_In6AgSn2
_cell_length_a 6.587
_cell_length_b 6.994
_cell_length_c 11.718
_cell_angle_alpha 90.00
_cell_angle_beta 114.13
_cell_angle_gamma 90.00
_space_group_name_H-M_alt 'P 1'
_space_group_IT_number 1
loop_
_space_group_symop_operation_xyz
'x,y,z'
loop_
_atom_site_label
_atom_site_type_symbol
_atom_site_fract_x
_atom_site_fract_y
_atom_site_fract_z
In1 In 0.267 0.774 0.083
In2 In 0.635 0.501 0.311
In3 In 0.135 0.999 0.811
In4 In 0.767 0.726 0.583
In5 In 0.237 0.730 0.416
In6 In 0.263 0.230 0.084
In7 In 0.865 0.001 0.189
In8 In 0.737 0.770 0.916
In9 In 0.733 0.226 0.917
In10 In 0.365 0.499 0.689
In11 In 0.763 0.270 0.584
In12 In 0.233 0.274 0.417
Sn1 Sn 0.466 0.996 0.671
Sn2 Sn 0.534 0.004 0.329
Sn3 Sn 0.966 0.504 0.171
Sn4 Sn 0.034 0.496 0.829
Ag1 Ag 0.500 0.500 0.000
Ag2 Ag 0.000 0.000 0.500
```

=====

Below is crystalline CaPOs2 at its relaxed geometry, with properties calculated at the PBE level.

D(E_F): 0.902 states/eV per atom
formation energy from the elements: 45 meV per atom
total magnetization: 0.000 μB per cell
calculated total energy: -29.69 eV/f.u.

Geometry as CIF:
```
data_CaPOs2
_cell_length_a 5.087
_cell_length_b 5.087
_cell_length_c 5.492
_cell_angle_alpha 69.70
_cell_angle_beta 69.70
_cell_angle_gamma 34.02
_space_group_name_H-M_alt 'P 1'
_space_group_IT_number 1
loop_
_space_group_symop_operation_xyz
'x,y,z'
loop_
_atom_site_label
_atom_site_type_symbol
_atom_site_fract_x
_atom_site_fract_y
_atom_site_fract_z
P1 P 0.461 0.461 0.580
Ca1 Ca 0.253 0.253 0.279
Os1 Os 0.030 0.030 0.851
Os2 Os 0.756 0.756 0.790
```